(1)
Below is crystalline LiPuPH at its relaxed geometry, with properties calculated at the PBE level.

Unit cell a=4.428 b=4.428 c=4.428 alpha=60.00 beta=60.00 gamma=60.00
Positions (direct):
Li (0.000, 0.000, 0.000)
Pu (0.500, 0.500, 0.500)
P (0.750, 0.750, 0.750)
H (0.250, 0.250, 0.250)

Results
Space-group type: F-43m, No. 216
Final energy (eV per atom): -6.806

(2)
Below is crystalline BaIr2 at its relaxed geometry, with properties calculated at the PBE level.

Unit cell a=4.642 b=4.642 c=10.839 alpha=98.70 beta=98.70 gamma=50.49
Positions (direct):
Ba (0.180, 0.180, 0.208)
Ba (0.820, 0.820, 0.792)
Ir (0.157, 0.157, 0.529)
Ir (0.476, 0.476, 0.614)
Ir (0.524, 0.524, 0.386)
Ir (0.843, 0.843, 0.471)

Results
Energy relative to the elements (kJ/mol of formula units): 36
Space-group type: C2/m, No. 12
Final energy (eV per atom): -6.423

(3)
Below is crystalline HoTiCuIr at its relaxed geometry, with properties calculated at the PBE level.

Unit cell a=4.629 b=4.629 c=4.629 alpha=60.00 beta=60.00 gamma=60.00
Positions (direct):
Ho (0.000, 0.000, 0.000)
Ti (0.500, 0.500, 0.500)
Cu (0.250, 0.250, 0.250)
Ir (0.750, 0.750, 0.750)

Results
Energy relative to the elements (kJ/mol of formula units): -162
Space-group type: F-43m, No. 216
Final energy (eV per atom): -6.778